Entry 1:
SiBiMo2 | GGA-PBEsol | optimized geometry

The space group is I-42d (No. 122) and the conventional cell measures 4.134, 4.134 and 18.284 Å, with angles of 90.00, 90.00 and 90.00 degrees. The asymmetric unit holds Si at (0.000, 0.000, 0.000), Bi at (0.000, 0.000, 0.500) and Mo at (0.167, 0.250, 0.125).

Its raw formation energy is 0.664 eV per atom.

Entry 2:
B3HS | GGA-PBEsol | optimized geometry

The space group is Pm-3m (No. 221) and the conventional cell measures 3.336, 3.336 and 3.336 Å, with angles of 90.00, 90.00 and 90.00 degrees. The asymmetric unit holds B at (0.000, 0.000, 0.500), H at (0.000, 0.000, 0.000) and S at (0.500, 0.500, 0.500).

The energy above the most stable polymorph in this dataset comes out at 0.000 eV per atom.

Entry 3:
CuSiSe2 | GGA-PBEsol | optimized geometry

The space group is P4mm (No. 99) and the conventional cell measures 3.537, 3.537 and 5.816 Å, with angles of 90.00, 90.00 and 90.00 degrees. The asymmetric unit holds Cu at (0.000, 0.000, 0.000), Si at (0.500, 0.500, 0.517), Se at (0.000, 0.000, 0.420) and Se at (0.500, 0.500, 0.918).

Its raw formation energy is -0.109 eV per atom.

Entry 4:
ScHRh3 | GGA-PBEsol | optimized geometry

The space group is Pm-3m (No. 221) and the conventional cell measures 3.916, 3.916 and 3.916 Å, with angles of 90.00, 90.00 and 90.00 degrees. The asymmetric unit holds Sc at (0.000, 0.000, 0.000), H at (0.500, 0.500, 0.500) and Rh at (0.000, 0.500, 0.500).

The energy above the most stable polymorph in this dataset comes out at 0.000 eV per atom.

Entry 5:
MoHSe2Br | GGA-PBEsol | optimized geometry

The space group is P4/mmm (No. 123) and the conventional cell measures 3.998, 3.998 and 5.376 Å, with angles of 90.00, 90.00 and 90.00 degrees. The asymmetric unit holds Mo at (0.000, 0.000, 0.000), H at (0.500, 0.500, 0.500), Se at (0.000, 0.500, 0.500) and Br at (0.500, 0.500, 0.000).

Its total energy is -4.116 eV per atom.

Entry 6:
AlCu | GGA-PBEsol | optimized geometry

The space group is R-3m (No. 166, hexagonal axes) and the conventional cell measures 2.7460, 2.7460 and 12.1879 Å, with angles of 90.00, 90.00 and 120.00 degrees. The asymmetric unit holds Al at (0.0000, 0.0000, 0.0000) and Cu at (0.0000, 0.0000, 0.5000).

The value obtained for the calculated formation energy is -0.1108 eV/atom.